(1)
First-principles (PBE-GGA) data for a relaxed structure of MnCo2Ag, as listed in Alexandria via LeMat-Bulk.

```
data_MnCo2Ag
_chemical_formula_sum 'Mn1 Co2 Ag1'
_symmetry_space_group_name_H-M 'P 1'
_symmetry_Int_Tables_number 1
_symmetry_space_group_name_Hall 'P 1'
_cell_length_a 4.563
_cell_length_b 4.563
_cell_length_c 4.563
_cell_angle_alpha 130.67
_cell_angle_beta 130.67
_cell_angle_gamma 72.33
loop_
_atom_site_label
_atom_site_fract_x
_atom_site_fract_y
_atom_site_fract_z
Mn1 0.500 0.500 0.000
Ag1 0.750 0.250 0.500
Co1 0.250 0.750 0.500
Co2 0.000 0.000 0.000
```

Values from the calculation:
* size of the total moment: 6.88 μB/cell
* excess energy over the best structure of this formula in the dataset: 0.45 eV per formula unit
* crystal system: tetragonal
* formation energy from the elements: 0.322 eV per atom
* symmetry: I-4m2, No. 119


(2)
First-principles (PBE-GGA) data for a relaxed structure of MnCo2Ag, as listed in Alexandria via LeMat-Bulk.

```
data_MnCo2Ag
_chemical_formula_sum 'Mn1 Co2 Ag1'
_symmetry_space_group_name_H-M 'P 1'
_symmetry_Int_Tables_number 1
_symmetry_space_group_name_Hall 'P 1'
_cell_length_a 2.736
_cell_length_b 4.546
_cell_length_c 5.349
_cell_angle_alpha 53.70
_cell_angle_beta 90.00
_cell_angle_gamma 90.00
loop_
_atom_site_label
_atom_site_fract_x
_atom_site_fract_y
_atom_site_fract_z
Co1 0.500 0.500 0.000
Co2 0.000 0.000 0.000
Mn1 0.500 0.500 0.500
Ag1 0.000 0.000 0.500
```

Values from the calculation:
* size of the total moment: 6.78 μB/cell
* excess energy over the best structure of this formula in the dataset: 0.55 eV per formula unit
* crystal system: monoclinic
* formation energy from the elements: 0.346 eV per atom
* symmetry: P2/m, No. 10